# PBE Al2InCu, relaxed
data_Al2InCu
_chemical_formula_sum 'Al4 In2 Cu2'
_space_group_name_H-M_alt 'I m m m'
_space_group_IT_number 71
_space_group_name_Hall '-I 2 2'
_cell_length_a 2.820
_cell_length_b 4.756
_cell_length_c 10.770
_cell_angle_alpha 90.00
_cell_angle_beta 90.00
_cell_angle_gamma 90.00
loop_
_atom_site_label
_atom_site_type_symbol
_atom_site_fract_x
_atom_site_fract_y
_atom_site_fract_z
Al1 Al 0.000 0.000 0.211
In1 In 0.000 0.500 0.000
Cu1 Cu 0.000 0.500 0.500
# ΔE_f   0.101 eV per atom
# VASP energy   -3.48 eV/atom
# N(E_F)   3.60 states/eV/cell
# M_tot   0.0 μB/cell